(one)
First-principles (PBE with a Hubbard U) data for a relaxed VPPtO2 crystal, as listed in Alexandria.

- D(E_F): 3.6 states/eV/f.u.
- Size of the total moment: 0.0 μB/f.u.

Cell lengths 3.583, 3.583, 5.631 Å; angles 90.00, 90.00, 90.00 degrees
Element x y z (fractional)
V 0.000 0.000 0.000
P 0.000 0.000 0.500
Pt 0.500 0.500 0.500
O 0.000 0.500 0.000
O 0.500 0.000 0.000


(two)
First-principles (PBE with a Hubbard U) data for a relaxed VPPtO2 crystal, as listed in Alexandria.

- D(E_F): 5.4 states/eV/f.u.
- Size of the total moment: 3.1 μB/f.u.

Cell lengths 3.850, 3.850, 5.228 Å; angles 90.00, 90.00, 90.00 degrees
Element x y z (fractional)
V 0.000 0.000 0.000
P 0.500 0.500 0.000
Pt 0.500 0.500 0.500
O 0.000 0.500 0.500
O 0.500 0.000 0.500


Top of the stability list: (one), leading by 76.9 kJ/mol of atoms.


(one)
First-principles (PBE with a Hubbard U) data for a relaxed VP2PtO crystal, as listed in Alexandria.

- D(E_F): 3.1 states/eV/f.u.
- Size of the total moment: 0.0 μB/f.u.

Cell lengths 4.696, 4.696, 3.527 Å; angles 90.00, 90.00, 90.00 degrees
Element x y z (fractional)
V 0.000 0.000 0.000
P 0.000 0.500 0.000
P 0.500 0.000 0.000
Pt 0.500 0.500 0.500
O 0.000 0.000 0.500


(two)
First-principles (PBE with a Hubbard U) data for a relaxed VP2PtO crystal, as listed in Alexandria.

- D(E_F): 4.7 states/eV/f.u.
- Size of the total moment: 1.5 μB/f.u.

Cell lengths 4.825, 4.825, 3.740 Å; angles 90.00, 90.00, 90.00 degrees
Element x y z (fractional)
V 0.000 0.000 0.000
P 0.000 0.500 0.500
P 0.500 0.000 0.500
Pt 0.500 0.500 0.500
O 0.500 0.500 0.000


Top of the stability list: (one), leading by 63.6 kJ/mol of atoms.


(one)
First-principles (PBE with a Hubbard U) data for a relaxed P2PtWO crystal, as listed in Alexandria.

- D(E_F): 2.4 states/eV/f.u.
- Size of the total moment: 0.0 μB/f.u.

Cell lengths 4.814, 4.814, 3.744 Å; angles 90.00, 90.00, 90.00 degrees
Element x y z (fractional)
P 0.000 0.500 0.000
P 0.500 0.000 0.000
Pt 0.000 0.000 0.500
W 0.500 0.500 0.000
O 0.500 0.500 0.500


(two)
First-principles (PBE with a Hubbard U) data for a relaxed P2PtWO crystal, as listed in Alexandria.

- D(E_F): 3.0 states/eV/f.u.
- Size of the total moment: 3.4 μB/f.u.

Cell lengths 4.821, 4.821, 3.759 Å; angles 90.00, 90.00, 90.00 degrees
Element x y z (fractional)
P 0.000 0.500 0.000
P 0.500 0.000 0.000
Pt 0.000 0.000 0.000
W 0.500 0.500 0.500
O 0.000 0.000 0.500


Top of the stability list: (one), leading by 46.4 kJ/mol of atoms.